No. 1
A geometry-optimized Sr2YSc structure. Source: Alexandria via LeMat-Bulk, functional GGA-PBEsol.

Its formation energy is 0.336 eV/atom. Its density is 3.6 g/cm3. For the total energy, the calculation gives -3.941 eV/atom.

It has space group R-3m (No. 166, hexagonal axes), with a = 3.6801 Å, b = 3.6801 Å, c = 36.5975 Å, α = 90.00°, β = 90.00° and γ = 120.00°. The distinct sites, in fractional coordinates, are Sr at (0.0000, 0.0000, 0.2468), Y at (0.0000, 0.0000, 0.0000) and Sc at (0.0000, 0.0000, 0.5000).

No. 2
A geometry-optimized Fe3Ge structure. Source: Alexandria via LeMat-Bulk, functional GGA-PBEsol.

Its formation energy is -0.113 eV/atom. Its density is 8.7 g/cm3. For the total energy, the calculation gives -8.071 eV/atom.

It has space group P6_3/mmc (No. 194), with a = 5.0479 Å, b = 5.0479 Å, c = 4.1333 Å, α = 90.00°, β = 90.00° and γ = 120.00°. The distinct sites, in fractional coordinates, are Fe at (0.1627, 0.3253, 0.2500) and Ge at (0.3333, 0.6667, 0.7500).